## TaMnNO2 (PBE with a Hubbard U)

Data for TaMnNO2 after structural relaxation. Values from VASP.

Structure (Quantum ESPRESSO input):
```
&SYSTEM
  ibrav = 0, nat = 5, ntyp = 4
/
ATOMIC_SPECIES
Ta 180.95 Ta.upf
Mn 54.94 Mn.upf
N 14.01 N.upf
O 16.00 O.upf
CELL_PARAMETERS angstrom
3.6687 0.0000 0.0000
0.0000 3.6687 0.0000
0.0000 0.0000 3.9292
ATOMIC_POSITIONS angstrom
Ta 0.0000 0.0000 0.0000
Mn 1.8343 1.8343 1.9646
N 1.8343 1.8343 0.0000
O 0.0000 1.8343 1.9646
O 1.8343 0.0000 1.9646
```

Results
E_tot   -7.784 eV per atom
Symmetry   No. 123
Density   8.9 Mg/m³